First-principles (GGA-PBEsol) data for a geometry-optimized CuNi5 structure, as listed in the Alexandria database.

```
CuNi5
1.0
-1.8256 -1.6181 -0.1967
3.2889 -1.4902 -3.0409
1.5185 -2.3408 5.1614
Cu Ni
1 5
Direct
0.0004 0.0009 0.9999 Cu
0.3319 0.6639 0.6644 Ni
0.0558 0.1117 0.6093 Ni
0.6674 0.3348 0.3355 Ni
0.7239 0.4478 0.9441 Ni
0.3871 0.7743 0.2802 Ni
```

Energy above the most stable polymorph in this dataset ... 26 meV/atom

=====

First-principles (GGA-PBEsol) data for a geometry-optimized Cu2Ni structure, as listed in the Alexandria database.

```
Cu2Ni
1.0
-1.9591 1.5099 0.1427
-2.0524 -2.5344 -1.3589
1.2855 -0.7469 4.0441
Cu Ni
2 1
Direct
0.6655 0.6655 0.3311 Cu
0.3345 0.3345 0.6689 Cu
0.0000 0.0000 0.0000 Ni
```

=====

First-principles (GGA-PBEsol) data for a geometry-optimized Cu2Ni structure, as listed in the Alexandria database.

```
Cu2Ni
1.0
-1.7090 -1.7714 -0.3235
2.9073 -1.6890 3.4155
-3.9919 3.3335 2.8353
Ni Cu
2 4
Direct
0.0575 0.1150 0.6141 Ni
0.7199 0.4397 0.9404 Ni
0.3886 0.7771 0.2774 Cu
0.6661 0.3322 0.3339 Cu
0.3344 0.6687 0.6683 Cu
0.0003 0.0005 0.9993 Cu
```

=====

First-principles (GGA-PBEsol) data for a geometry-optimized Cu3Ni5 structure, as listed in the Alexandria database.

```
Cu3Ni5
1.0
-1.3742 0.2750 3.1862
-0.2254 -4.9304 0.3283
4.5402 -0.0497 1.9625
Ni Cu
5 3
Direct
0.0000 0.0000 0.5000 Ni
0.0000 0.0000 0.0000 Ni
0.0000 0.5000 0.0000 Ni
0.5000 0.2453 0.7547 Ni
0.5000 0.7547 0.2453 Ni
0.0000 0.5000 0.5000 Cu
0.5000 0.7488 0.7488 Cu
0.5000 0.2512 0.2512 Cu
```

=====

no.,E_form (eV/atom),E (eV/atom)
1,0.041,-5.812
2,0.019,-4.923
3,0.018,-4.924
4,0.041,-5.432